[1]
MnRe: optimized geometry, PBE.

* E_form: 0.739 eV/atom

```
data_MnRe
_symmetry_space_group_name_H-M 'F d d d'
_symmetry_Int_Tables_number 70
_cell_length_a 6.690
_cell_length_b 7.569
_cell_length_c 8.808
_cell_angle_alpha 90.00
_cell_angle_beta 90.00
_cell_angle_gamma 90.00
loop_
_symmetry_equiv_pos_as_xyz
'x,y,z'
'-x,-y,-z'
'-x+1/4,-y+1/4,z'
'x+1/4,y+1/4,-z'
'x,-y+1/4,-z+1/4'
'-x,y+1/4,z+1/4'
'-x+1/4,y,-z+1/4'
'x+1/4,-y,z+1/4'
'x,y+1/2,z+1/2'
'-x,-y+1/2,-z+1/2'
'-x+1/4,-y+3/4,z+1/2'
'x+1/4,y+3/4,-z+1/2'
'x,-y+3/4,-z+3/4'
'-x,y+3/4,z+3/4'
'-x+1/4,y+1/2,-z+3/4'
'x+1/4,-y+1/2,z+3/4'
'x+1/2,y,z+1/2'
'-x+1/2,-y,-z+1/2'
'-x+3/4,-y+1/4,z+1/2'
'x+3/4,y+1/4,-z+1/2'
'x+1/2,-y+1/4,-z+3/4'
'-x+1/2,y+1/4,z+3/4'
'-x+3/4,y,-z+3/4'
'x+3/4,-y,z+3/4'
'x+1/2,y+1/2,z'
'-x+1/2,-y+1/2,-z'
'-x+3/4,-y+3/4,z'
'x+3/4,y+3/4,-z'
'x+1/2,-y+3/4,-z+1/4'
'-x+1/2,y+3/4,z+1/4'
'-x+3/4,y+1/2,-z+1/4'
'x+3/4,-y+1/2,z+1/4'
loop_
_atom_site_label
_atom_site_type_symbol
_atom_site_fract_x
_atom_site_fract_y
_atom_site_fract_z
Mn1 Mn 0.033 0.375 0.375
Re1 Re 0.125 0.302 0.625
```



[2]
LiAl4Co3: optimized geometry, PBE.

* E_form: -0.482 eV/atom

```
data_LiAl4Co3
_symmetry_space_group_name_H-M 'P 4/m m m'
_symmetry_Int_Tables_number 123
_symmetry_space_group_name_Hall '-P 4 2'
_cell_length_a 2.877
_cell_length_b 2.877
_cell_length_c 11.939
_cell_angle_alpha 90.00
_cell_angle_beta 90.00
_cell_angle_gamma 90.00
loop_
_atom_site_label
_atom_site_type_symbol
_atom_site_fract_x
_atom_site_fract_y
_atom_site_fract_z
Li1 Li 0.000 0.000 0.000
Al1 Al 0.500 0.500 0.145
Al2 Al 0.500 0.500 0.381
Co1 Co 0.000 0.000 0.260
Co2 Co 0.000 0.000 0.500
```



[3]
KRe: optimized geometry, PBE.

* polymorph energy (0 for the lowest one): 2.0252 eV per atom
* E_form: 2.856 eV/atom

```
data_KRe
_symmetry_space_group_name_H-M 'P m -3 m'
_symmetry_Int_Tables_number 221
_symmetry_space_group_name_Hall '-P 4 2 3'
_cell_length_a 3.956
_cell_length_b 3.956
_cell_length_c 3.956
_cell_angle_alpha 90.00
_cell_angle_beta 90.00
_cell_angle_gamma 90.00
loop_
_atom_site_label
_atom_site_type_symbol
_atom_site_fract_x
_atom_site_fract_y
_atom_site_fract_z
K1 K 0.000 0.000 0.000
Re1 Re 0.500 0.500 0.500
```



[4]
AgGeSb2: optimized geometry, PBE.

* ΔE_f (raw): 0.1392 eV/atom

```
data_AgGeSb2
_symmetry_space_group_name_H-M 'I -4 2 d'
_symmetry_Int_Tables_number 122
_symmetry_space_group_name_Hall 'I -4 2bw'
_cell_length_a 6.384
_cell_length_b 6.384
_cell_length_c 12.040
_cell_angle_alpha 90.00
_cell_angle_beta 90.00
_cell_angle_gamma 90.00
loop_
_atom_site_label
_atom_site_type_symbol
_atom_site_fract_x
_atom_site_fract_y
_atom_site_fract_z
Ag1 Ag 0.000 0.000 0.000
Ge1 Ge 0.000 0.000 0.500
Sb1 Sb 0.246 0.250 0.625
```



For each record above, in turn, the calculated V values are 446; 99; 62; 491 Å³ per cell.